Computed, not measured: crystalline Ca2AlCr at its relaxed geometry at the GGA-PBE level of DFT. Values from VASP.

Cell and atoms, written as Quantum ESPRESSO input:
```
&SYSTEM
  ibrav = 0, nat = 4, ntyp = 3
/
ATOMIC_SPECIES
Ca 40.08 Ca.upf
Al 26.98 Al.upf
Cr 52.00 Cr.upf
CELL_PARAMETERS angstrom
1.7829 1.0294 10.1672
-1.7829 1.0294 10.1672
0.0000 -2.0587 10.1672
ATOMIC_POSITIONS crystal
Ca 0.2476 0.2476 0.2476
Ca 0.7524 0.7524 0.7524
Al 0.5000 0.5000 0.5000
Cr 0.0000 0.0000 0.0000
```

Calculated values
E_form = 471 meV/atom
DOS(E_F) = 0.774 states/eV/atom
Total moment = 1.178 μB/atom